The following is a DFT calculation (SCAN) of a crystal of Al3OsRh relaxed with PBEsol.

Calculated volume: 17.62 A^3/atom
Symmetry: No. 221
Formation enthalpy at 0 K: 477 meV per atom

a b c (Å): 4.449 4.449 4.449
angles (deg): 90.00 90.00 90.00
Fractional coordinates of all 5 atoms:
Os 0.500 0.500 0.500
Rh 0.000 0.000 0.000
Al 0.000 0.000 0.500
Al 0.000 0.500 0.000
Al 0.500 0.000 0.000

=====

The following is a DFT calculation (SCAN) of a crystal of ZrAlOs2S relaxed with PBEsol.

Calculated volume: 17.30 A^3/atom
Symmetry: No. 123
Energy relative to the elements, uncorrected: 0.39 eV/atom

a b c (Å): 4.323 4.323 4.630
angles (deg): 90.00 90.00 90.00
Fractional coordinates of all 5 atoms:
Zr 0.000 0.000 0.500
Os 0.500 0.000 0.000
S 0.000 0.000 0.000
Os 0.000 0.500 0.000
Al 0.500 0.500 0.500

=====

The following is a DFT calculation (SCAN) of a crystal of AlSb2Os relaxed with PBEsol.

Calculated volume: 20.96 A^3/atom
Symmetry: No. 8
Energy relative to the elements, uncorrected: 0.09 eV/atom

a b c (Å): 3.235 4.535 6.271
angles (deg): 101.81 90.00 110.90
Fractional coordinates of all 4 atoms:
Sb 0.018 0.037 0.064
Sb 0.249 0.499 0.679
Os 0.750 0.500 0.323
Al 0.483 0.965 0.433

=====

The following is a DFT calculation (SCAN) of a crystal of AlSb2Os relaxed with PBEsol.

Calculated volume: 20.46 A^3/atom
Symmetry: No. 65
Energy relative to the elements, uncorrected: 0.64 eV/atom

a b c (Å): 3.053 3.053 10.077
angles (deg): 90.00 90.00 119.41
Fractional coordinates of all 4 atoms:
Al 0.500 0.500 0.500
Sb 0.000 0.000 0.780
Os 0.500 0.500 0.000
Sb 0.000 0.000 0.220

=====

The following is a DFT calculation (SCAN) of a crystal of Sc2AlOs relaxed with PBEsol.

Calculated volume: 18.50 A^3/atom
Symmetry: No. 99
Formation enthalpy at 0 K: -459 meV per atom

a b c (Å): 3.135 3.135 7.528
angles (deg): 90.00 90.00 90.00
Fractional coordinates of all 4 atoms:
Os 0.500 0.500 0.724
Al 0.000 0.000 0.551
Sc 0.500 0.500 0.289
Sc 0.000 0.000 0.936

=====

The following is a DFT calculation (SCAN) of a crystal of Sc4AlOs relaxed with PBEsol.

Calculated volume: 18.50 A^3/atom
Symmetry: No. 216
Formation enthalpy at 0 K: 397 meV per atom

a b c (Å): 5.395 5.395 5.395
angles (deg): 60.00 60.00 60.00
Fractional coordinates of all 6 atoms:
Sc 0.373 0.373 0.881
Sc 0.881 0.373 0.373
Sc 0.373 0.373 0.373
Sc 0.373 0.881 0.373
Al 0.750 0.750 0.750
Os 0.000 0.000 0.000